No. 1
VASP calculation (SCAN) on a PBEsol-optimized structure of YCoSb2.

```
data_YCoSb2
_chemical_formula_sum 'Y4 Co4 Sb8'
_cell_length_a 7.031
_cell_length_b 7.031
_cell_length_c 7.031
_cell_angle_alpha 90.00
_cell_angle_beta 90.00
_cell_angle_gamma 90.00
_space_group_name_H-M_alt 'P 1'
_space_group_IT_number 1
_space_group_name_Hall 'P 1'
loop_
_atom_site_label
_atom_site_type_symbol
_atom_site_fract_x
_atom_site_fract_y
_atom_site_fract_z
_atom_site_occupancy
Y1 Y 0.000 0.000 0.000 1
Y2 Y 0.000 0.500 0.500 1
Y3 Y 0.500 0.000 0.500 1
Y4 Y 0.500 0.500 0.000 1
Co1 Co 0.250 0.250 0.750 1
Co2 Co 0.250 0.750 0.250 1
Co3 Co 0.750 0.250 0.250 1
Co4 Co 0.750 0.750 0.750 1
Sb1 Sb 0.000 0.000 0.500 1
Sb2 Sb 0.000 0.500 0.000 1
Sb3 Sb 0.250 0.250 0.250 1
Sb4 Sb 0.250 0.750 0.750 1
Sb5 Sb 0.500 0.000 0.000 1
Sb6 Sb 0.500 0.500 0.500 1
Sb7 Sb 0.750 0.250 0.750 1
Sb8 Sb 0.750 0.750 0.250 1
```

Summary:
* total energy: -478.9 eV/cell
* uncorrected formation energy: -0.0147 eV/atom
* mass density: 7.48 g/cm3

=====

No. 2
VASP calculation (SCAN) on a PBEsol-optimized structure of YCoSb2.

```
data_YCoSb2
_chemical_formula_sum 'Y2 Co2 Sb4'
_cell_length_a 3.837
_cell_length_b 4.017
_cell_length_c 11.625
_cell_angle_alpha 90.00
_cell_angle_beta 90.00
_cell_angle_gamma 90.00
_space_group_name_H-M_alt 'P 1'
_space_group_IT_number 1
_space_group_name_Hall 'P 1'
loop_
_atom_site_label
_atom_site_type_symbol
_atom_site_fract_x
_atom_site_fract_y
_atom_site_fract_z
_atom_site_occupancy
Y1 Y 0.000 0.000 0.000 1
Y2 Y 0.000 0.500 0.500 1
Co1 Co 0.500 0.000 0.426 1
Co2 Co 0.500 0.500 0.926 1
Sb1 Sb 0.000 0.000 0.285 1
Sb2 Sb 0.000 0.500 0.785 1
Sb3 Sb 0.500 0.000 0.638 1
Sb4 Sb 0.500 0.500 0.138 1
```

Summary:
* total energy: -241.1 eV/cell
* uncorrected formation energy: -0.2186 eV/atom
* mass density: 7.25 g/cm3

=====

No. 3
VASP calculation (SCAN) on a PBEsol-optimized structure of YCoSb2.

```
data_YCoSb2
_chemical_formula_sum 'Y1 Co1 Sb2'
_cell_length_a 4.817
_cell_length_b 3.993
_cell_length_c 4.834
_cell_angle_alpha 90.00
_cell_angle_beta 107.56
_cell_angle_gamma 90.00
_space_group_name_H-M_alt 'P 1'
_space_group_IT_number 1
_space_group_name_Hall 'P 1'
loop_
_atom_site_label
_atom_site_type_symbol
_atom_site_fract_x
_atom_site_fract_y
_atom_site_fract_z
_atom_site_occupancy
Y1 Y 0.000 0.000 0.000 1
Co1 Co 0.500 0.000 0.500 1
Sb1 Sb 0.310 0.500 0.691 1
Sb2 Sb 0.690 0.500 0.309 1
```

Summary:
* total energy: -121.1 eV/cell
* uncorrected formation energy: -0.3645 eV/atom
* mass density: 7.33 g/cm3

=====

No. 4
VASP calculation (SCAN) on a PBEsol-optimized structure of Y2CoSb.

```
data_Y2CoSb
_chemical_formula_sum 'Y2 Co1 Sb1'
_cell_length_a 3.318
_cell_length_b 3.318
_cell_length_c 8.120
_cell_angle_alpha 90.00
_cell_angle_beta 90.00
_cell_angle_gamma 90.00
_space_group_name_H-M_alt 'P 1'
_space_group_IT_number 1
_space_group_name_Hall 'P 1'
loop_
_atom_site_label
_atom_site_type_symbol
_atom_site_fract_x
_atom_site_fract_y
_atom_site_fract_z
_atom_site_occupancy
Y1 Y 0.000 0.000 0.000 1
Y2 Y 0.500 0.500 0.356 1
Co1 Co 0.500 0.500 0.771 1
Sb1 Sb 0.000 0.000 0.623 1
```

Summary:
* total energy: -110.9 eV/cell
* uncorrected formation energy: -0.1727 eV/atom
* mass density: 6.66 g/cm3

=====

No. 5
VASP calculation (SCAN) on a PBEsol-optimized structure of Y2CoSb.

```
data_Y2CoSb
_chemical_formula_sum 'Y8 Co4 Sb4'
_cell_length_a 7.660
_cell_length_b 7.660
_cell_length_c 6.242
_cell_angle_alpha 90.00
_cell_angle_beta 90.00
_cell_angle_gamma 90.00
_space_group_name_H-M_alt 'P 1'
_space_group_IT_number 1
_space_group_name_Hall 'P 1'
loop_
_atom_site_label
_atom_site_type_symbol
_atom_site_fract_x
_atom_site_fract_y
_atom_site_fract_z
_atom_site_occupancy
Y1 Y 0.192 0.250 0.125 1
Y2 Y 0.250 0.692 0.375 1
Y3 Y 0.250 0.808 0.875 1
Y4 Y 0.308 0.250 0.625 1
Y5 Y 0.692 0.750 0.625 1
Y6 Y 0.750 0.192 0.875 1
Y7 Y 0.750 0.308 0.375 1
Y8 Y 0.808 0.750 0.125 1
Co1 Co 0.000 0.000 0.000 1
Co2 Co 0.000 0.500 0.250 1
Co3 Co 0.500 0.000 0.750 1
Co4 Co 0.500 0.500 0.500 1
Sb1 Sb 0.000 0.000 0.500 1
Sb2 Sb 0.000 0.500 0.750 1
Sb3 Sb 0.500 0.000 0.250 1
Sb4 Sb 0.500 0.500 0.000 1
```

Summary:
* total energy: -443.4 eV/cell
* uncorrected formation energy: -0.1481 eV/atom
* mass density: 6.50 g/cm3

=====

No. 6
VASP calculation (SCAN) on a PBEsol-optimized structure of YCoSb2.

```
data_YCoSb2
_chemical_formula_sum 'Y4 Co4 Sb8'
_cell_length_a 7.643
_cell_length_b 7.643
_cell_length_c 5.955
_cell_angle_alpha 90.00
_cell_angle_beta 90.00
_cell_angle_gamma 90.00
_space_group_name_H-M_alt 'P 1'
_space_group_IT_number 1
_space_group_name_Hall 'P 1'
loop_
_atom_site_label
_atom_site_type_symbol
_atom_site_fract_x
_atom_site_fract_y
_atom_site_fract_z
_atom_site_occupancy
Y1 Y 0.000 0.000 0.000 1
Y2 Y 0.000 0.500 0.250 1
Y3 Y 0.500 0.000 0.750 1
Y4 Y 0.500 0.500 0.500 1
Co1 Co 0.000 0.000 0.500 1
Co2 Co 0.000 0.500 0.750 1
Co3 Co 0.500 0.000 0.250 1
Co4 Co 0.500 0.500 0.000 1
Sb1 Sb 0.182 0.250 0.625 1
Sb2 Sb 0.250 0.682 0.875 1
Sb3 Sb 0.250 0.818 0.375 1
Sb4 Sb 0.318 0.250 0.125 1
Sb5 Sb 0.682 0.750 0.125 1
Sb6 Sb 0.750 0.182 0.375 1
Sb7 Sb 0.750 0.318 0.875 1
Sb8 Sb 0.818 0.750 0.625 1
```

Summary:
* total energy: -484.1 eV/cell
* uncorrected formation energy: -0.3398 eV/atom
* mass density: 7.47 g/cm3